MnAlZn2O | PBE+U | relaxed

Output
Its volume is 16.53 Å³/atom. As for the electronic total energy: -3.166 eV per atom. As for the symmetry: P4/mmm, No. 123.

Structure (POSCAR):
```
MnAlZn2O
1.0
4.898 0.000 0.000
0.000 3.445 0.000
0.000 0.000 4.898
Zn Al O Mn
2 1 1 1
Direct
0.500 0.000 0.000
0.000 0.000 0.500
0.500 0.500 0.500
0.000 0.500 0.000
0.000 0.000 0.000
```